# YAg2Te2

YAg2Te2 after structural relaxation (PBE, Alexandria via LeMat-Bulk).

Geometry as POSCAR:
```
YAg2Te2
1.0
-4.478 -1.496 -2.846
1.922 -5.158 -0.314
-3.336 -4.322 2.181
Y Te Ag
1 2 2
direct
0.000 0.000 0.000
0.750 0.250 0.500
0.250 0.750 0.500
0.347 0.347 0.305
0.653 0.653 0.695
```

ΔE to the lowest computed polymorph: 0.214 eV per atom
SG: I4/mmm, No. 139
Formation energy (no corrections): -133 kJ/mol of formula units